(1)
Computed, not measured: a relaxed RbNa2LiCl4 crystal at the PBE-GGA level of DFT.

Summary:
- spin magnetization (μB/atom) = 0.0147
- total energy (eV/atom) = -3.45
- formation energy without anion corrections (eV/atom) = -1.83
- ρ (g cm⁻³) = 2.26
- crystal system = orthorhombic

a b c (Å): 4.129 14.124 14.126
angles (deg): 90.00 90.00 90.00
Space group Cmcm (No. 63)
One atom of each set of equivalent atoms:
Rb 0.000 0.112 0.250
Na 0.000 0.369 0.047
Li 0.000 0.160 0.750
Cl 0.000 0.000 0.000
Cl 0.000 0.257 0.617
Cl 0.000 0.427 0.250

---

(2)
Computed, not measured: a relaxed Ca2Ac9Nd crystal at the PBE-GGA level of DFT.

Summary:
- spin magnetization (μB/atom) = 0.0000
- total energy (eV/atom) = -3.79
- ρ (g cm⁻³) = 7.21
- crystal system = tetragonal

a b c (Å): 5.585 5.585 16.731
angles (deg): 90.00 90.00 90.00
Space group P4/mmm (No. 123)
One atom of each set of equivalent atoms:
Ca 0.000 0.000 0.168
Ac 0.000 0.500 0.000
Ac 0.000 0.500 0.337
Ac 0.500 0.500 0.167
Ac 0.500 0.500 0.500
Nd 0.000 0.000 0.500

---

(3)
Computed, not measured: a relaxed Re3Te crystal at the PBE-GGA level of DFT.

Summary:
- spin magnetization (μB/atom) = 0.0000
- total energy (eV/atom) = -9.05
- formation energy without anion corrections (eV/atom) = 1.07
- energy above the most stable polymorph in this dataset (eV per atom) = 0.536
- ρ (g cm⁻³) = 17.42
- crystal system = cubic

a b c (Å): 4.029 4.029 4.029
angles (deg): 90.00 90.00 90.00
Space group Pm-3m (No. 221)
One atom of each set of equivalent atoms:
Re 0.000 0.000 0.500
Te 0.500 0.500 0.500

---

(4)
Computed, not measured: a relaxed Li3ZrPt4 crystal at the PBE-GGA level of DFT.

Summary:
- spin magnetization (μB/atom) = 0.0000
- total energy (eV/atom) = -5.55
- ρ (g cm⁻³) = 12.52
- crystal system = tetragonal

a b c (Å): 4.441 4.441 6.003
angles (deg): 90.00 90.00 90.00
Space group P4/mmm (No. 123)
One atom of each set of equivalent atoms:
Li 0.000 0.000 0.000
Li 0.000 0.000 0.500
Li 0.500 0.500 0.000
Zr 0.500 0.500 0.500
Pt 0.000 0.500 0.235